P:
WCS3: optimized geometry, PBE.

Unit cell a=4.666 b=4.666 c=4.666 alpha=90.00 beta=90.00 gamma=90.00
Space group Pm-3m (No. 221)
One atom of each set of equivalent atoms:
W (0.000, 0.000, 0.000)
C (0.500, 0.500, 0.500)
S (0.000, 0.000, 0.500)


Q:
WCS3: optimized geometry, PBE.

Unit cell a=4.006 b=4.006 c=4.006 alpha=90.00 beta=90.00 gamma=90.00
Space group Pm-3m (No. 221)
One atom of each set of equivalent atoms:
W (0.000, 0.000, 0.000)
C (0.500, 0.500, 0.500)
S (0.000, 0.500, 0.500)


Energy relative to the most stable one, in eV/atom: P 0.096; Q 0.000


P:
W2CS: optimized geometry, PBE.

Unit cell a=5.767 b=5.767 c=5.767 alpha=90.00 beta=90.00 gamma=90.00
Space group Fm-3m (No. 225)
One atom of each set of equivalent atoms:
W (0.250, 0.250, 0.250)
C (0.000, 0.000, 0.000)
S (0.000, 0.000, 0.500)


Q:
W2CS: optimized geometry, PBE.

Unit cell a=5.180 b=5.180 c=9.426 alpha=90.00 beta=90.00 gamma=90.00
Space group I-42d (No. 122)
One atom of each set of equivalent atoms:
W (0.201, 0.250, 0.125)
C (0.000, 0.000, 0.000)
S (0.000, 0.000, 0.500)


Energy relative to the most stable one, in eV/atom: P 0.129; Q 0.000


P:
Zn2CS: optimized geometry, PBE.

Unit cell a=5.206 b=5.206 c=9.480 alpha=90.00 beta=90.00 gamma=90.00
Space group I-42d (No. 122)
One atom of each set of equivalent atoms:
Zn (0.194, 0.250, 0.125)
C (0.000, 0.000, 0.000)
S (0.000, 0.000, 0.500)


Q:
Zn2CS: optimized geometry, PBE.

Unit cell a=5.984 b=5.984 c=5.984 alpha=90.00 beta=90.00 gamma=90.00
Space group Fm-3m (No. 225)
One atom of each set of equivalent atoms:
Zn (0.250, 0.250, 0.250)
C (0.000, 0.000, 0.000)
S (0.000, 0.000, 0.500)


Energy relative to the most stable one, in eV/atom: P 0.000; Q 0.723


P:
ZnC2S: optimized geometry, PBE.

Unit cell a=4.557 b=4.557 c=8.133 alpha=90.00 beta=90.00 gamma=90.00
Space group I-42d (No. 122)
One atom of each set of equivalent atoms:
Zn (0.000, 0.000, 0.000)
C (0.189, 0.250, 0.625)
S (0.000, 0.000, 0.500)


Q:
ZnC2S: optimized geometry, PBE.

Unit cell a=5.555 b=5.555 c=5.555 alpha=90.00 beta=90.00 gamma=90.00
Space group Fm-3m (No. 225)
One atom of each set of equivalent atoms:
Zn (0.000, 0.000, 0.000)
C (0.250, 0.250, 0.250)
S (0.000, 0.000, 0.500)


Energy relative to the most stable one, in eV/atom: P 0.000; Q 1.490